## 1
{
  "formula": "CaPdSe2",
  "functional": "GGA-PBE",
  "state": "relaxed",
  "cell": [[-2.7638, 2.7638, 7.2666], [2.7638, -2.7638, 7.2666], [2.7638, 2.7638, -7.2666]],
  "species": ["Ca", "Ca", "Pd", "Pd", "Se", "Se", "Se", "Se"],
  "fractional_positions": [[0.0000, 0.0000, 0.0000], [0.7500, 0.2500, 0.5000], [0.2500, 0.7500, 0.5000], [0.5000, 0.5000, 0.0000], [0.1908, 0.6250, 0.0658], [0.3750, 0.4408, 0.5658], [0.5592, 0.1250, 0.9342], [0.8750, 0.8092, 0.4342]],
  "dos_ef_per_ev_atom": 0.3346,
  "mass_density_g_cm3": 4.6
}

***

## 2
{
  "formula": "CaPdSe2",
  "functional": "GGA-PBE",
  "state": "relaxed",
  "cell": [[2.0499, 1.1835, 8.1649], [-2.0499, 1.1835, 8.1649], [0.0000, -2.3670, 8.1649]],
  "species": ["Ca", "Pd", "Se", "Se"],
  "fractional_positions": [[0.0000, 0.0000, 0.0000], [0.5000, 0.5000, 0.5000], [0.4035, 0.4035, 0.4035], [0.5965, 0.5965, 0.5965]],
  "dos_ef_per_ev_atom": 1.7076,
  "mass_density_g_cm3": 4.3
}

***

Result of the stability comparison: 1 is the most stable of them.